! LiHo3N GGA-PBE relaxed; values from VASP
&SYSTEM
  ibrav = 0, nat = 5, ntyp = 3
/
ATOMIC_SPECIES
N 14.01 N.upf
Li 6.94 Li.upf
Ho 164.93 Ho.upf
ATOMIC_POSITIONS crystal
N 0.500 0.500 0.500
Li 0.000 0.000 0.000
Ho 0.500 0.000 0.500
Ho 0.000 0.500 0.500
Ho 0.500 0.500 0.000
CELL_PARAMETERS angstrom
4.807 0.000 0.000
0.000 4.807 0.000
0.000 0.000 4.807
! V: 22.21 Å³/atom
! magnetization: 0.5 μB/f.u.
! total energy: -0.394 Ry/atom

! TmZrNO GGA-PBE relaxed; values from VASP
&SYSTEM
  ibrav = 0, nat = 8, ntyp = 4
/
ATOMIC_SPECIES
O 16.00 O.upf
Zr 91.22 Zr.upf
N 14.01 N.upf
Tm 168.93 Tm.upf
ATOMIC_POSITIONS crystal
O 0.500 0.902 0.851
O 0.500 0.402 0.149
Zr 0.000 0.983 0.627
Zr 0.000 0.483 0.373
N 0.000 0.358 0.679
N 0.000 0.858 0.321
Tm 0.500 0.011 0.174
Tm 0.500 0.511 0.826
CELL_PARAMETERS angstrom
-2.770 2.017 -0.874
0.364 -1.811 -5.337
-4.006 -4.899 1.389
! V: 16.18 Å³/atom
! magnetization: 0.0 μB/f.u.
! total energy: -0.621 Ry/atom